1.
DFT (GGA-PBE) results for an optimized crystal structure of In4CoW.

Properties
**Symmetry**: F-43m, No. 216
**Calculated formation energy**: 1.126 eV/atom

```
data_In4CoW
_chemical_formula_sum 'In4 Co1 W1'
_cell_length_a 5.616
_cell_length_b 5.616
_cell_length_c 5.616
_cell_angle_alpha 60.00
_cell_angle_beta 60.00
_cell_angle_gamma 60.00
_symmetry_space_group_name_H-M 'P 1'
_symmetry_Int_Tables_number 1
_symmetry_space_group_name_Hall 'P 1'
loop_
_atom_site_label
_atom_site_type_symbol
_atom_site_fract_x
_atom_site_fract_y
_atom_site_fract_z
In1 In 0.125 0.125 0.125
In2 In 0.125 0.125 0.625
In3 In 0.125 0.625 0.125
In4 In 0.625 0.125 0.125
Co1 Co 0.500 0.500 0.500
W1 W 0.750 0.750 0.750
```

2.
DFT (GGA-PBE) results for an optimized crystal structure of ZrSi3Rh5.

Properties
**Formation energy (no corrections)**: -0.687 eV/atom
**Symmetry**: Cmcm, No. 63

```
data_ZrSi3Rh5
_chemical_formula_sum 'Zr2 Si6 Rh10'
_cell_length_a 5.475
_cell_length_b 5.475
_cell_length_c 14.029
_cell_angle_alpha 90.00
_cell_angle_beta 90.00
_cell_angle_gamma 139.57
_symmetry_space_group_name_H-M 'P 1'
_symmetry_Int_Tables_number 1
_symmetry_space_group_name_Hall 'P 1'
loop_
_atom_site_label
_atom_site_type_symbol
_atom_site_fract_x
_atom_site_fract_y
_atom_site_fract_z
Zr1 Zr 0.210 0.790 0.750
Zr2 Zr 0.790 0.210 0.250
Si1 Si 0.053 0.947 0.250
Si2 Si 0.356 0.644 0.514
Si3 Si 0.356 0.644 0.986
Si4 Si 0.644 0.356 0.014
Si5 Si 0.644 0.356 0.486
Si6 Si 0.947 0.053 0.750
Rh1 Rh 0.000 0.000 0.000
Rh2 Rh 0.000 0.000 0.500
Rh3 Rh 0.210 0.790 0.117
Rh4 Rh 0.210 0.790 0.383
Rh5 Rh 0.487 0.513 0.150
Rh6 Rh 0.487 0.513 0.350
Rh7 Rh 0.513 0.487 0.650
Rh8 Rh 0.513 0.487 0.850
Rh9 Rh 0.790 0.210 0.617
Rh10 Rh 0.790 0.210 0.883
```

3.
DFT (GGA-PBE) results for an optimized crystal structure of AlZn4Pd.

Properties
**Symmetry**: F-43m, No. 216
**Calculated formation energy**: -0.127 eV/atom

```
data_AlZn4Pd
_chemical_formula_sum 'Al1 Zn4 Pd1'
_cell_length_a 5.001
_cell_length_b 5.001
_cell_length_c 5.001
_cell_angle_alpha 60.00
_cell_angle_beta 60.00
_cell_angle_gamma 60.00
_symmetry_space_group_name_H-M 'P 1'
_symmetry_Int_Tables_number 1
_symmetry_space_group_name_Hall 'P 1'
loop_
_atom_site_label
_atom_site_type_symbol
_atom_site_fract_x
_atom_site_fract_y
_atom_site_fract_z
Al1 Al 0.000 0.000 0.000
Zn1 Zn 0.375 0.375 0.375
Zn2 Zn 0.375 0.375 0.874
Zn3 Zn 0.375 0.874 0.375
Zn4 Zn 0.874 0.375 0.375
Pd1 Pd 0.750 0.750 0.750
```

4.
DFT (GGA-PBE) results for an optimized crystal structure of K2RbAu.

Properties
**Excess energy over the best structure of this formula in the dataset**: 0 meV per atom
**Symmetry**: Cmcm, No. 63
**Calculated formation energy**: -0.170 eV/atom

```
data_K2RbAu
_chemical_formula_sum 'K4 Rb2 Au2'
_cell_length_a 7.811
_cell_length_b 7.811
_cell_length_c 10.731
_cell_angle_alpha 90.00
_cell_angle_beta 90.00
_cell_angle_gamma 142.65
_symmetry_space_group_name_H-M 'P 1'
_symmetry_Int_Tables_number 1
_symmetry_space_group_name_Hall 'P 1'
loop_
_atom_site_label
_atom_site_type_symbol
_atom_site_fract_x
_atom_site_fract_y
_atom_site_fract_z
K1 K 0.155 0.845 0.565
K2 K 0.155 0.845 0.935
K3 K 0.845 0.155 0.065
K4 K 0.845 0.155 0.435
Rb1 Rb 0.430 0.570 0.750
Rb2 Rb 0.570 0.430 0.250
Au1 Au 0.249 0.751 0.250
Au2 Au 0.751 0.249 0.750
```

5.
DFT (GGA-PBE) results for an optimized crystal structure of Cs3Li2Te2.

Properties
**Formation energy (no corrections)**: -0.757 eV/atom
**Symmetry**: Pbcm, No. 57

```
data_Cs3Li2Te2
_chemical_formula_sum 'Cs12 Li8 Te8'
_cell_length_a 8.759
_cell_length_b 9.618
_cell_length_c 15.559
_cell_angle_alpha 90.00
_cell_angle_beta 90.00
_cell_angle_gamma 90.00
_symmetry_space_group_name_H-M 'P 1'
_symmetry_Int_Tables_number 1
_symmetry_space_group_name_Hall 'P 1'
loop_
_atom_site_label
_atom_site_type_symbol
_atom_site_fract_x
_atom_site_fract_y
_atom_site_fract_z
Cs1 Cs 0.096 0.164 0.120
Cs2 Cs 0.096 0.164 0.380
Cs3 Cs 0.096 0.336 0.620
Cs4 Cs 0.096 0.336 0.880
Cs5 Cs 0.389 0.675 0.750
Cs6 Cs 0.389 0.825 0.250
Cs7 Cs 0.611 0.175 0.750
Cs8 Cs 0.611 0.325 0.250
Cs9 Cs 0.904 0.664 0.120
Cs10 Cs 0.904 0.664 0.380
Cs11 Cs 0.904 0.836 0.620
Cs12 Cs 0.904 0.836 0.880
Li1 Li 0.372 0.509 0.078
Li2 Li 0.372 0.509 0.422
Li3 Li 0.372 0.991 0.578
Li4 Li 0.372 0.991 0.922
Li5 Li 0.628 0.009 0.078
Li6 Li 0.628 0.009 0.422
Li7 Li 0.628 0.491 0.578
Li8 Li 0.628 0.491 0.922
Te1 Te 0.223 0.020 0.750
Te2 Te 0.223 0.480 0.250
Te3 Te 0.485 0.250 0.000
Te4 Te 0.485 0.250 0.500
Te5 Te 0.515 0.750 0.000
Te6 Te 0.515 0.750 0.500
Te7 Te 0.777 0.520 0.750
Te8 Te 0.777 0.980 0.250
```

6.
DFT (GGA-PBE) results for an optimized crystal structure of Mg7Cd3Sn2.

Properties
**Symmetry**: Cmmm, No. 65
**Calculated formation energy**: -0.011 eV/atom

```
data_Mg7Cd3Sn2
_chemical_formula_sum 'Mg7 Cd3 Sn2'
_cell_length_a 11.490
_cell_length_b 11.490
_cell_length_c 5.074
_cell_angle_alpha 90.00
_cell_angle_beta 90.00
_cell_angle_gamma 153.63
_symmetry_space_group_name_H-M 'P 1'
_symmetry_Int_Tables_number 1
_symmetry_space_group_name_Hall 'P 1'
loop_
_atom_site_label
_atom_site_type_symbol
_atom_site_fract_x
_atom_site_fract_y
_atom_site_fract_z
Mg1 Mg 0.000 0.000 0.000
Mg2 Mg 0.076 0.924 0.500
Mg3 Mg 0.283 0.717 0.000
Mg4 Mg 0.426 0.574 0.000
Mg5 Mg 0.574 0.426 0.000
Mg6 Mg 0.717 0.283 0.000
Mg7 Mg 0.924 0.076 0.500
Cd1 Cd 0.350 0.650 0.500
Cd2 Cd 0.500 0.500 0.500
Cd3 Cd 0.650 0.350 0.500
Sn1 Sn 0.150 0.850 0.000
Sn2 Sn 0.850 0.150 0.000
```